Density functional theory data (PBE-GGA) for crystalline Fe2Ir5Rh3 at its relaxed geometry.

Lattice parameters (Å, degrees): 8.5359 3.8335 8.5544 90.00 90.58 90.00
Space group C2/m (No. 12)
Symmetry-distinct sites (fractional):
1 Fe 0.1948 0.0000 0.1016 x4
2 Ir 0.0000 0.5000 0.0000 x2
3 Ir 0.0977 0.5000 0.2969 x4
4 Ir 0.2044 0.5000 0.6040 x4
5 Rh 0.0000 0.0000 0.5000 x2
6 Rh 0.1056 0.0000 0.8067 x4

***

Density functional theory data (PBE-GGA) for crystalline FeIrRh2 at its relaxed geometry.

Lattice parameters (Å, degrees): 3.8060 3.8060 7.6316 90.00 90.00 90.00
Space group I4/mmm (No. 139)
Symmetry-distinct sites (fractional):
1 Fe 0.0000 0.0000 0.0000 x2
2 Ir 0.0000 0.0000 0.5000 x2
3 Rh 0.0000 0.5000 0.2500 x4

***

Density functional theory data (PBE-GGA) for crystalline FeIrRh3 at its relaxed geometry.

energy above the lowest structure with this stoichiometry	1377	meV/atom

Lattice parameters (Å, degrees): 4.3509 4.3509 4.3509 90.00 90.00 90.00
Space group Pm-3m (No. 221)
Symmetry-distinct sites (fractional):
1 Fe 0.0000 0.0000 0.0000 x1
2 Ir 0.5000 0.5000 0.5000 x1
3 Rh 0.0000 0.0000 0.5000 x3

***

Density functional theory data (PBE-GGA) for crystalline FeIrRh at its relaxed geometry.

energy above the lowest structure with this stoichiometry	134	meV/atom

Lattice parameters (Å, degrees): 2.7135 2.7135 22.6285 90.00 90.00 90.00
Space group I4/mmm (No. 139)
Symmetry-distinct sites (fractional):
1 Fe 0.0000 0.0000 0.1285 x4
2 Ir 0.0000 0.0000 0.4445 x4
3 Rh 0.0000 0.0000 0.2935 x4

***

Density functional theory data (PBE-GGA) for crystalline Fe10IrRh6 at its relaxed geometry.

Lattice parameters (Å, degrees): 7.2767 7.2767 5.1167 90.00 90.00 120.00
Space group P-31m (No. 162)
Symmetry-distinct sites (fractional):
1 Fe 0.0000 0.3135 0.3399 x6
2 Fe 0.3333 0.6667 0.0000 x2
3 Fe 0.3333 0.6667 0.5000 x2
4 Ir 0.0000 0.0000 0.0000 x1
5 Rh 0.0000 0.3464 0.8286 x6

***

Density functional theory data (PBE-GGA) for crystalline FeIrRh at its relaxed geometry.

energy above the lowest structure with this stoichiometry	4	meV/atom

Lattice parameters (Å, degrees): 2.7011 3.7366 8.0546 90.00 90.00 90.00
Space group Imm2 (No. 44)
Symmetry-distinct sites (fractional):
1 Fe 0.0000 0.0000 0.0000 x2
2 Ir 0.0000 0.0000 0.3392 x2
3 Rh 0.0000 0.0000 0.6677 x2

***

Number 1: density of states at the Fermi level 22.07 states/eV/cell, energy relative to the elements -0.04 eV/atom. Number 2: density of states at the Fermi level 8.49 states/eV/cell, energy relative to the elements -0.05 eV/atom. Number 3: density of states at the Fermi level 9.41 states/eV/cell, energy relative to the elements 1.34 eV/atom. Number 4: density of states at the Fermi level 18.05 states/eV/cell, energy relative to the elements 0.11 eV/atom. Number 5: density of states at the Fermi level 14.14 states/eV/cell, energy relative to the elements 0.09 eV/atom. Number 6: density of states at the Fermi level 6.94 states/eV/cell, energy relative to the elements -0.02 eV/atom.